(1)
Computed, not measured: a relaxed structure of TbY4Tm5 at the PBE level of DFT.

Calculated values
energy of formation	0.30	eV/atom

Cell: 10.102 10.102 6.301 Å, 90.00 90.00 90.00°
Space group I4 (No. 79)
Inequivalent atoms, fractional coordinates:
Tb: 0.000 0.000 0.000 (multiplicity 2)
Y: 0.046 0.342 0.771 (multiplicity 8)
Tm: 0.000 0.000 0.543 (multiplicity 2)
Tm: 0.143 0.229 0.273 (multiplicity 8)

***

(2)
Computed, not measured: a relaxed structure of SmHo3P4 at the PBE level of DFT.

Calculated values
energy of formation	-1.60	eV/atom

Cell: 8.035 11.362 4.019 Å, 90.00 90.00 90.00°
Space group Cmmm (No. 65)
Inequivalent atoms, fractional coordinates:
Sm: 0.000 0.000 0.000 (multiplicity 2)
Ho: 0.000 0.500 0.000 (multiplicity 2)
Ho: 0.250 0.250 0.500 (multiplicity 4)
P: 0.000 0.252 0.000 (multiplicity 4)
P: 0.245 0.500 0.500 (multiplicity 4)

***

(3)
Computed, not measured: a relaxed structure of CoRhSe2 at the PBE level of DFT.

Calculated values
uncorrected formation energy	0.307	eV/atom

Cell: 3.699 3.699 9.026 Å, 90.00 90.00 90.00°
Space group I-4m2 (No. 119)
Inequivalent atoms, fractional coordinates:
Co: 0.000 0.000 0.000 (multiplicity 2)
Rh: 0.000 0.500 0.750 (multiplicity 2)
Se: 0.000 0.000 0.500 (multiplicity 2)
Se: 0.000 0.500 0.250 (multiplicity 2)

***

(4)
Computed, not measured: a relaxed structure of U2Co12As7 at the PBE level of DFT.

Calculated values
energy of formation	-0.34	eV/atom

Cell: 9.3612 9.3612 3.7390 Å, 90.00 90.00 120.00°
Space group P-6 (No. 174)
Inequivalent atoms, fractional coordinates:
U: 0.0000 0.0000 0.0000 (multiplicity 1)
U: 0.3333 0.6667 0.5000 (multiplicity 1)
Co: 0.0472 0.2788 0.5000 (multiplicity 3)
Co: 0.1058 0.7115 0.0000 (multiplicity 3)
Co: 0.3890 0.1808 0.0000 (multiplicity 3)
Co: 0.5394 0.4402 0.5000 (multiplicity 3)
As: 0.0704 0.4472 0.0000 (multiplicity 3)
As: 0.2629 0.2228 0.5000 (multiplicity 3)
As: 0.6667 0.3333 0.0000 (multiplicity 1)

***

Which formula does entry 4 have? U2Co12As7